# FeC2 (PBE, relaxed)
data_FeC2
_cell_length_a 3.314
_cell_length_b 3.314
_cell_length_c 7.944
_cell_angle_alpha 90.00
_cell_angle_beta 90.00
_cell_angle_gamma 90.00
_symmetry_space_group_name_H-M 'I 41/a m d'
_symmetry_Int_Tables_number 141
loop_
_symmetry_equiv_pos_as_xyz
'x,y,z'
'-x,-y,-z'
'-y+1/4,x+3/4,z+1/4'
'y+1/4,-x+3/4,-z+1/4'
'-x+1/2,-y,z+1/2'
'x+1/2,y,-z+1/2'
'y+1/4,-x+1/4,z+3/4'
'-y+1/4,x+1/4,-z+3/4'
'x,-y,-z'
'-x,y,z'
'-y+1/4,-x+1/4,-z+3/4'
'y+1/4,x+1/4,z+3/4'
'-x+1/2,y,-z+1/2'
'x+1/2,-y,z+1/2'
'y+1/4,x+3/4,-z+1/4'
'-y+1/4,-x+3/4,z+1/4'
'x+1/2,y+1/2,z+1/2'
'-x+1/2,-y+1/2,-z+1/2'
'-y+3/4,x+1/4,z+3/4'
'y+3/4,-x+1/4,-z+3/4'
'-x,-y+1/2,z'
'x,y+1/2,-z'
'y+3/4,-x+3/4,z+1/4'
'-y+3/4,x+3/4,-z+1/4'
'x+1/2,-y+1/2,-z+1/2'
'-x+1/2,y+1/2,z+1/2'
'-y+3/4,-x+3/4,-z+1/4'
'y+3/4,x+3/4,z+1/4'
'-x,y+1/2,-z'
'x,-y+1/2,z'
'y+3/4,x+1/4,-z+3/4'
'-y+3/4,-x+1/4,z+3/4'
loop_
_atom_site_label
_atom_site_fract_x
_atom_site_fract_y
_atom_site_fract_z
_atom_site_occupancy
Fe1 0.000 0.250 0.375 1
C1 0.000 0.250 0.782 1
# **ΔE_f**: 1402.6 meV per atom
# **Energy above the most stable polymorph in this dataset**: 0.884 eV/atom